{
  "formula": "RbCu2WF8",
  "functional": "GGA+U",
  "state": "optimized geometry",
  "lattice": [[5.2143, 0.0000, 0.0000], [2.6071, 4.5157, 0.0000], [2.6071, 1.5052, 8.1952]],
  "species": ["Rb", "Cu", "Cu", "W", "F", "F", "F", "F", "F", "F", "F", "F"],
  "fractional_positions": [[0.5000, 0.5000, 0.5000], [0.2394, 0.2394, 0.2817], [0.7606, 0.7606, 0.7183], [0.0000, 0.0000, 0.0000], [0.1642, 0.1642, 0.5073], [0.6346, 0.2549, 0.1473], [0.8358, 0.8358, 0.4927], [0.9632, 0.6346, 0.1473], [0.0368, 0.3654, 0.8527], [0.2549, 0.9632, 0.1473], [0.7451, 0.0368, 0.8527], [0.3654, 0.7451, 0.8527]],
  "dft_energy_ev_per_atom": -4.69,
  "magnetic_moment_mub_per_cell": 0.985
}